(1)
Entry from Alexandria: a geometry-optimized ThCu5Au7 structure (PBE).

Values from the calculation:
volume	17.0	A^3/atom

Geometry as CIF:
```
data_ThCu5Au7
_symmetry_space_group_name_H-M 'I m m 2'
_symmetry_Int_Tables_number 44
_cell_length_a 5.254
_cell_length_b 9.144
_cell_length_c 9.177
_cell_angle_alpha 90.00
_cell_angle_beta 90.00
_cell_angle_gamma 90.00
loop_
_symmetry_equiv_pos_as_xyz
'x,y,z'
'-x,-y,z'
'-x,y,z'
'x,-y,z'
'x+1/2,y+1/2,z+1/2'
'-x+1/2,-y+1/2,z+1/2'
'-x+1/2,y+1/2,z+1/2'
'x+1/2,-y+1/2,z+1/2'
loop_
_atom_site_label
_atom_site_type_symbol
_atom_site_fract_x
_atom_site_fract_y
_atom_site_fract_z
Th1 Th 0.000 0.000 0.000
Cu1 Cu 0.000 0.500 0.264
Cu2 Cu 0.249 0.255 0.244
Au1 Au 0.000 0.000 0.342
Au2 Au 0.000 0.000 0.665
Au3 Au 0.000 0.297 0.489
Au4 Au 0.000 0.342 0.998
Au5 Au 0.000 0.500 0.720
```


(2)
Entry from Alexandria: a geometry-optimized Th3CuAu3 structure (PBE).

Values from the calculation:
volume	24.3	A^3/atom

Geometry as CIF:
```
data_Th3CuAu3
_symmetry_space_group_name_H-M 'I m m 2'
_symmetry_Int_Tables_number 44
_cell_length_a 3.676
_cell_length_b 4.597
_cell_length_c 20.102
_cell_angle_alpha 90.00
_cell_angle_beta 90.00
_cell_angle_gamma 90.00
loop_
_symmetry_equiv_pos_as_xyz
'x,y,z'
'-x,-y,z'
'-x,y,z'
'x,-y,z'
'x+1/2,y+1/2,z+1/2'
'-x+1/2,-y+1/2,z+1/2'
'-x+1/2,y+1/2,z+1/2'
'x+1/2,-y+1/2,z+1/2'
loop_
_atom_site_label
_atom_site_type_symbol
_atom_site_fract_x
_atom_site_fract_y
_atom_site_fract_z
Th1 Th 0.000 0.000 0.000
Th2 Th 0.000 0.000 0.380
Th3 Th 0.000 0.500 0.194
Cu1 Cu 0.000 0.500 0.759
Au1 Au 0.000 0.000 0.546
Au2 Au 0.000 0.000 0.829
Au3 Au 0.000 0.500 0.631
```


(3)
Entry from Alexandria: a geometry-optimized Th2Cu2Au3 structure (PBE).

Values from the calculation:
volume	21.4	A^3/atom

Geometry as CIF:
```
data_Th2Cu2Au3
_symmetry_space_group_name_H-M 'C m m m'
_symmetry_Int_Tables_number 65
_symmetry_space_group_name_Hall '-C 2 2'
_cell_length_a 4.132
_cell_length_b 19.017
_cell_length_c 3.807
_cell_angle_alpha 90.00
_cell_angle_beta 90.00
_cell_angle_gamma 90.00
loop_
_atom_site_label
_atom_site_type_symbol
_atom_site_fract_x
_atom_site_fract_y
_atom_site_fract_z
Th1 Th 0.000 0.159 0.000
Cu1 Cu 0.000 0.285 0.500
Au1 Au 0.000 0.000 0.000
Au2 Au 0.000 0.426 0.500
```


(4)
Entry from Alexandria: a geometry-optimized ThTlCuAu structure (PBE).

Values from the calculation:
volume	22.3	A^3/atom

Geometry as CIF:
```
data_ThTlCuAu
_symmetry_space_group_name_H-M 'F -4 3 m'
_symmetry_Int_Tables_number 216
_symmetry_space_group_name_Hall 'F -4 2 3'
_cell_length_a 7.094
_cell_length_b 7.094
_cell_length_c 7.094
_cell_angle_alpha 90.00
_cell_angle_beta 90.00
_cell_angle_gamma 90.00
loop_
_atom_site_label
_atom_site_type_symbol
_atom_site_fract_x
_atom_site_fract_y
_atom_site_fract_z
Th1 Th 0.000 0.000 0.000
Tl1 Tl 0.000 0.000 0.500
Cu1 Cu 0.250 0.250 0.750
Au1 Au 0.250 0.250 0.250
```


(5)
Entry from Alexandria: a geometry-optimized Th2Zn3Cu12Au structure (PBE).

Values from the calculation:
volume	17.0	A^3/atom

Geometry as CIF:
```
data_Th2Zn3Cu12Au
_symmetry_space_group_name_H-M 'R -3 m'
_symmetry_Int_Tables_number 166
_symmetry_space_group_name_Hall '-R 3 2"'
_cell_length_a 6.2845
_cell_length_b 6.2845
_cell_length_c 26.7937
_cell_angle_alpha 90.00
_cell_angle_beta 90.00
_cell_angle_gamma 120.00
loop_
_atom_site_label
_atom_site_type_symbol
_atom_site_fract_x
_atom_site_fract_y
_atom_site_fract_z
Th1 Th 0.0000 0.0000 0.1427
Zn1 Zn 0.0000 0.5000 0.0000
Cu1 Cu 0.0368 0.5184 0.9001
Cu2 Cu 0.0791 0.5395 0.6223
Au1 Au 0.0000 0.0000 0.5000
```


(6)
Entry from Alexandria: a geometry-optimized ThZn5CuAu2 structure (PBE).

Values from the calculation:
volume	20.0	A^3/atom

Geometry as CIF:
```
data_ThZn5CuAu2
_symmetry_space_group_name_H-M 'P 4/m m m'
_symmetry_Int_Tables_number 123
_symmetry_space_group_name_Hall '-P 4 2'
_cell_length_a 4.907
_cell_length_b 4.907
_cell_length_c 7.473
_cell_angle_alpha 90.00
_cell_angle_beta 90.00
_cell_angle_gamma 90.00
loop_
_atom_site_label
_atom_site_type_symbol
_atom_site_fract_x
_atom_site_fract_y
_atom_site_fract_z
Th1 Th 0.000 0.000 0.000
Zn1 Zn 0.000 0.500 0.300
Zn2 Zn 0.500 0.500 0.000
Cu1 Cu 0.000 0.000 0.500
Au1 Au 0.500 0.500 0.322
```


(7)
Entry from Alexandria: a geometry-optimized ThZnCuAu structure (PBE).

Values from the calculation:
volume	20.4	A^3/atom

Geometry as CIF:
```
data_ThZnCuAu
_symmetry_space_group_name_H-M 'F -4 3 m'
_symmetry_Int_Tables_number 216
_symmetry_space_group_name_Hall 'F -4 2 3'
_cell_length_a 6.885
_cell_length_b 6.885
_cell_length_c 6.885
_cell_angle_alpha 90.00
_cell_angle_beta 90.00
_cell_angle_gamma 90.00
loop_
_atom_site_label
_atom_site_type_symbol
_atom_site_fract_x
_atom_site_fract_y
_atom_site_fract_z
Th1 Th 0.000 0.000 0.000
Zn1 Zn 0.000 0.000 0.500
Cu1 Cu 0.250 0.250 0.250
Au1 Au 0.250 0.250 0.750
```


(8)
Entry from Alexandria: a geometry-optimized Th2Zn4Cu3Au structure (PBE).

Values from the calculation:
volume	18.5	A^3/atom

Geometry as CIF:
```
data_Th2Zn4Cu3Au
_symmetry_space_group_name_H-M 'P -4 m 2'
_symmetry_Int_Tables_number 115
_cell_length_a 4.199
_cell_length_b 4.199
_cell_length_c 10.496
_cell_angle_alpha 90.00
_cell_angle_beta 90.00
_cell_angle_gamma 90.00
loop_
_symmetry_equiv_pos_as_xyz
'x,y,z'
'y,-x,-z'
'-x,-y,z'
'-y,x,-z'
'-x,y,z'
'-y,-x,-z'
'x,-y,z'
'y,x,-z'
loop_
_atom_site_label
_atom_site_type_symbol
_atom_site_fract_x
_atom_site_fract_y
_atom_site_fract_z
Th1 Th 0.000 0.500 0.240
Zn1 Zn 0.000 0.000 0.000
Zn2 Zn 0.000 0.500 0.642
Zn3 Zn 0.500 0.500 0.000
Cu1 Cu 0.000 0.500 0.872
Cu2 Cu 0.500 0.500 0.500
Au1 Au 0.000 0.000 0.500
```


(9)
Entry from Alexandria: a geometry-optimized Th2Zn12Cu3Au structure (PBE).

Values from the calculation:
volume	18.4	A^3/atom

Geometry as CIF:
```
data_Th2Zn12Cu3Au
_symmetry_space_group_name_H-M 'R -3 m'
_symmetry_Int_Tables_number 166
_symmetry_space_group_name_Hall '-R 3 2"'
_cell_length_a 6.0401
_cell_length_b 6.0401
_cell_length_c 31.4955
_cell_angle_alpha 90.00
_cell_angle_beta 90.00
_cell_angle_gamma 120.00
loop_
_atom_site_label
_atom_site_type_symbol
_atom_site_fract_x
_atom_site_fract_y
_atom_site_fract_z
Th1 Th 0.0000 0.0000 0.1399
Zn1 Zn 0.0185 0.5093 0.8945
Zn2 Zn 0.0529 0.5264 0.6180
Cu1 Cu 0.0000 0.5000 0.0000
Au1 Au 0.0000 0.0000 0.5000
```


(10)
Entry from Alexandria: a geometry-optimized ThZn3CuAu structure (PBE).

Values from the calculation:
volume	18.8	A^3/atom

Geometry as CIF:
```
data_ThZn3CuAu
_symmetry_space_group_name_H-M 'C m c m'
_symmetry_Int_Tables_number 63
_symmetry_space_group_name_Hall '-C 2c 2'
_cell_length_a 6.085
_cell_length_b 12.485
_cell_length_c 5.951
_cell_angle_alpha 90.00
_cell_angle_beta 90.00
_cell_angle_gamma 90.00
loop_
_atom_site_label
_atom_site_type_symbol
_atom_site_fract_x
_atom_site_fract_y
_atom_site_fract_z
Th1 Th 0.000 0.215 0.250
Zn1 Zn 0.000 0.369 0.750
Zn2 Zn 0.211 0.000 0.000
Cu1 Cu 0.000 0.432 0.250
Au1 Au 0.000 0.157 0.750
```


(11)
Entry from Alexandria: a geometry-optimized ThZn2CuAu4 structure (PBE).

Values from the calculation:
volume	18.9	A^3/atom

Geometry as CIF:
```
data_ThZn2CuAu4
_symmetry_space_group_name_H-M 'R -3 m'
_symmetry_Int_Tables_number 166
_symmetry_space_group_name_Hall '-R 3 2"'
_cell_length_a 4.4780
_cell_length_b 4.4780
_cell_length_c 26.1568
_cell_angle_alpha 90.00
_cell_angle_beta 90.00
_cell_angle_gamma 120.00
loop_
_atom_site_label
_atom_site_type_symbol
_atom_site_fract_x
_atom_site_fract_y
_atom_site_fract_z
Th1 Th 0.0000 0.0000 0.0000
Zn1 Zn 0.0000 0.0000 0.2384
Cu1 Cu 0.0000 0.0000 0.5000
Au1 Au 0.0000 0.0000 0.1310
Au2 Au 0.0000 0.0000 0.3972
```


| no. | ΔE_f (meV per atom) | E_tot (eV/atom) | magnetic moment (μB/f.u.) |
| --- | --- | --- | --- |
| 1 | -236 | -4.15 | 0.00 |
| 2 | -537 | -5.71 | 0.00 |
| 3 | -346 | -5.04 | 0.00 |
| 4 | -290 | -4.58 | 0.00 |
| 5 | 111 | -3.84 | 0.00 |
| 6 | 87 | -2.63 | 0.00 |
| 7 | -316 | -4.33 | 0.00 |
| 8 | -245 | -3.79 | 0.00 |
| 9 | -4 | -2.54 | 0.00 |
| 10 | -160 | -3.26 | 0.00 |
| 11 | -360 | -3.76 | 0.00 |